[1]
## LiHoTm (PBE)

Data for crystalline LiHoTm at its relaxed geometry.

Output
Energy of formation   0.0730 eV per atom
SG   No. 2
ρ   6.8 g cm⁻³

a = 3.455 Å, b = 3.458 Å, c = 19.730 Å
α = 120.71°, β = 120.65°, γ = 60.25°
Atoms (fractional coordinates):
Li: 0.973 0.972 0.569
Tm: 0.029 0.032 0.267
Li: 0.027 0.028 0.431
Tm: 0.971 0.968 0.733
Ho: 0.347 0.350 0.091
Ho: 0.653 0.650 0.909

=====

[2]
## TaMnTl3 (PBE)

Data for crystalline TaMnTl3 at its relaxed geometry.

Output
Energy of formation   1.1227 eV per atom
SG   No. 221
ρ   8.6 g cm⁻³

a = 5.467 Å, b = 5.467 Å, c = 5.467 Å
α = 90.00°, β = 90.00°, γ = 90.00°
Atoms (fractional coordinates):
Mn: 0.500 0.500 0.500
Tl: 0.000 0.000 0.500
Ta: 0.000 0.000 0.000
Tl: 0.500 0.000 0.000
Tl: 0.000 0.500 0.000

=====

[3]
## TbPm3Ru (PBE)

Data for crystalline TbPm3Ru at its relaxed geometry.

Output
Energy of formation   -0.1214 eV per atom
SG   No. 46
ρ   7.4 g cm⁻³

a = 7.465 Å, b = 7.465 Å, c = 7.465 Å
α = 101.77°, β = 119.57°, γ = 107.62°
Atoms (fractional coordinates):
Ru: 0.030 0.532 0.998
Pm: 0.532 0.322 0.291
Tb: 0.505 0.781 0.224
Pm: 0.532 0.741 0.710
Pm: 0.053 0.782 0.770
Pm: 0.012 0.282 0.230
Pm: 0.031 0.241 0.709
Pm: 0.031 0.822 0.290
Ru: 0.533 0.032 0.002
Tb: 0.557 0.281 0.776

=====

[4]
## Hf3NbOs (PBE)

Data for crystalline Hf3NbOs at its relaxed geometry.

Output
Energy of formation   1.4998 eV per atom
SG   No. 221
ρ   11.6 g cm⁻³

a = 4.890 Å, b = 4.890 Å, c = 4.890 Å
α = 90.00°, β = 90.00°, γ = 90.00°
Atoms (fractional coordinates):
Hf: 0.000 0.500 0.000
Hf: 0.500 0.000 0.000
Hf: 0.000 0.000 0.500
Nb: 0.000 0.000 0.000
Os: 0.500 0.500 0.500

=====

[5]
## CePu2As2 (PBE)

Data for crystalline CePu2As2 at its relaxed geometry.

Output
Energy of formation   -0.7141 eV per atom
SG   No. 74
ρ   9.4 g cm⁻³

a = 7.636 Å, b = 7.636 Å, c = 5.735 Å
α = 112.04°, β = 112.04°, γ = 95.87°
Atoms (fractional coordinates):
As: 0.856 0.144 0.250
Pu: 0.448 0.219 0.083
As: 0.144 0.856 0.750
Pu: 0.219 0.448 0.583
Pu: 0.552 0.781 0.917
Pu: 0.781 0.552 0.417
Ce: 0.128 0.872 0.250
As: 0.385 0.615 0.250
As: 0.615 0.385 0.750
Ce: 0.872 0.128 0.750

=====

[6]
## PrEr2Pb2 (PBE)

Data for crystalline PrEr2Pb2 at its relaxed geometry.

Output
Energy of formation   -0.3070 eV per atom
SG   No. 12
ρ   9.5 g cm⁻³

a = 4.680 Å, b = 4.680 Å, c = 7.832 Å
α = 107.18°, β = 107.18°, γ = 90.12°
Atoms (fractional coordinates):
Pb: 0.605 0.605 0.207
Pb: 0.395 0.395 0.793
Er: 0.750 0.250 0.500
Pr: 0.000 0.000 0.000
Er: 0.250 0.750 0.500